Below is Ca2Ge4Pt after structural relaxation, with properties calculated at the GGA-PBE level.

## Properties
E_form: -1.61 kcal/mol of atoms
Volume: 26.6 A^3/atom
E_tot: -4.143 eV/atom
Fermi-level density of states: 5.3 states/eV per cell

Cell lengths 4.758, 4.758, 8.873 Å; angles 74.45, 74.45, 90.00 degrees
Fractional positions:
1 Ca 0.340 0.340 0.320
2 Ca 0.660 0.660 0.680
3 Ge 0.158 0.158 0.685
4 Ge 0.842 0.842 0.315
5 Ge 0.000 0.500 0.000
6 Ge 0.500 0.000 0.000
7 Pt 0.000 0.000 0.000